A geometry-optimized YTa2Br structure, computed with GGA-PBEsol.

```
data_YTa2Br
_cell_length_a 3.246
_cell_length_b 4.580
_cell_length_c 5.680
_cell_angle_alpha 90.00
_cell_angle_beta 90.00
_cell_angle_gamma 89.90
_space_group_name_H-M_alt 'P 1'
_space_group_IT_number 1
loop_
_space_group_symop_operation_xyz
'x,y,z'
loop_
_atom_site_label
_atom_site_type_symbol
_atom_site_fract_x
_atom_site_fract_y
_atom_site_fract_z
_atom_site_occupancy
Ta1 Ta 0.736 0.772 0.000 1
Ta2 Ta 0.264 0.228 0.000 1
Y1 Y 0.000 0.000 0.500 1
Br1 Br 0.500 0.500 0.500 1
```

Values from the calculation:
E_tot in eV/atom: -8.19
Fermi-level density of states in states/eV per atom: 0.9100
Symmetry: No. 10
ΔE_f (raw) in eV per atom: 0.261
Offset from the most stable computed form in meV/atom: 203